1.
KAgF2: optimized geometry, PBE.

Geometry as POSCAR:
```
KAgF2
1.0
-0.1473 -2.9949 -0.8268
2.8348 0.2092 -1.2628
2.6105 -1.6697 5.5832
K Ag F
1 1 2
direct
0.5000 0.5000 0.5000
0.5000 0.5000 0.0000
0.0000 0.0000 0.2451
0.0000 0.0000 0.7549
```

## Properties
* total DFT energy (no corrections): -3.664 eV per atom
* density of states at the Fermi level: 0.000 states/eV/atom
* E above lowest polymorph: 124.8 meV per atom
* ΔE_f (raw): -6.965 eV/f.u.
* spin magnetization: 0.0 μB per formula unit

=====

2.
Tl2InSb2O6: optimized geometry, PBE.

Geometry as POSCAR:
```
Tl2InSb2O6
1.0
-1.8779 5.6834 -0.9103
0.5051 -3.7458 -4.2947
-6.2291 -1.3641 4.3333
Tl O In Sb
2 6 1 2
direct
0.2997 0.5993 0.8287
0.7003 0.4007 0.1713
0.2678 0.5355 0.4891
0.7066 0.8856 0.2804
0.8210 0.1144 0.7196
0.2934 0.1144 0.7196
0.1790 0.8856 0.2804
0.7322 0.4645 0.5109
0.5000 0.0000 0.5000
0.0723 0.1446 0.2550
0.9277 0.8554 0.7450
```

## Properties
* total DFT energy (no corrections): -5.197 eV per atom
* density of states at the Fermi level: 0.304 states/eV/atom
* ΔE_f (raw): -11.707 eV/f.u.
* spin magnetization: 0.0 μB per formula unit

=====

3.
PrHo6Zn2: optimized geometry, PBE.

Geometry as POSCAR:
```
PrHo6Zn2
1.0
3.5817 0.0000 0.5687
1.5700 6.0615 1.6757
0.0019 -0.0889 11.5523
Zn Ho Pr
2 6 1
direct
0.6531 0.9099 0.7839
0.3469 0.0901 0.2161
0.6909 0.4916 0.1266
0.9786 0.7082 0.3345
0.0214 0.2918 0.6655
0.3091 0.5084 0.8734
0.6875 0.2121 0.4130
0.3125 0.7879 0.5870
0.0000 0.0000 0.0000
```

## Properties
* total DFT energy (no corrections): -4.004 eV per atom
* density of states at the Fermi level: 1.170 states/eV/atom
* E above lowest polymorph: 0.0 meV per atom
* spin magnetization: 0.0 μB per formula unit

=====

4.
AcCe2Hg: optimized geometry, PBE.

Geometry as POSCAR:
```
AcCe2Hg
1.0
-5.0203 -1.4099 -0.4366
0.4479 -2.8135 3.9360
-1.2952 3.7388 2.8200
Ce Hg Ac
2 1 1
direct
0.0000 0.5000 0.0000
0.0000 0.0000 0.5000
0.5000 0.0000 0.0000
0.5000 0.5000 0.5000
```

## Properties
* total DFT energy (no corrections): -4.089 eV per atom
* density of states at the Fermi level: 3.181 states/eV/atom
* E above lowest polymorph: 33.8 meV per atom
* spin magnetization: 2.4 μB per formula unit

=====

5.
TlHgHBr2: optimized geometry, PBE.

Geometry as POSCAR:
```
TlHgHBr2
1.0
5.9180 0.0000 0.0000
0.0000 3.7600 0.0000
0.0000 0.0000 5.9180
Hg Tl Br H
1 1 2 1
direct
0.0000 0.0000 0.0000
0.5000 0.5000 0.5000
0.5000 0.0000 0.0000
0.0000 0.0000 0.5000
0.0000 0.5000 0.0000
```

## Properties
* total DFT energy (no corrections): -2.206 eV per atom
* density of states at the Fermi level: 0.089 states/eV/atom
* spin magnetization: 0.0 μB per formula unit

=====

6.
ScZn6Cu4: optimized geometry, PBE.

Geometry as POSCAR:
```
ScZn6Cu4
1.0
6.3540 -0.1982 -0.2915
-3.1135 5.5424 0.2915
-3.1135 -1.7667 5.2614
Cu Zn Sc
4 6 1
direct
0.0000 0.5948 0.2597
0.0000 0.2597 0.5948
0.3351 0.7403 0.7403
0.6649 0.4052 0.4052
0.5000 0.0000 0.5000
0.0000 0.5213 0.8946
0.6266 0.1054 0.1054
0.3734 0.4787 0.4787
0.5000 0.5000 0.0000
0.0000 0.8946 0.5213
0.0000 0.0000 0.0000
```

## Properties
* total DFT energy (no corrections): -2.783 eV per atom
* density of states at the Fermi level: 0.568 states/eV/atom
* spin magnetization: 0.0 μB per formula unit

=====

Q: spin magnetization of number 5 (TlHgHBr2)?
A: 0.0 μB per formula unit